(1)
# TiCu3Br9 | the Alexandria database | GGA-PBE | relaxed
data_TiCu3Br9
_cell_length_a 18.112
_cell_length_b 9.049
_cell_length_c 13.086
_cell_angle_alpha 90.00
_cell_angle_beta 128.60
_cell_angle_gamma 90.00
_space_group_name_H-M_alt 'C 1 c 1'
_space_group_IT_number 9
_space_group_name_Hall 'C -2yc'
loop_
_atom_site_label
_atom_site_type_symbol
_atom_site_fract_x
_atom_site_fract_y
_atom_site_fract_z
_atom_site_occupancy
Ti1 Ti 0.000 0.222 0.000 1
Cu1 Cu 0.131 0.418 0.829 1
Cu2 Cu 0.267 0.065 0.769 1
Cu3 Cu 0.362 0.384 0.660 1
Br1 Br 0.001 0.094 0.176 1
Br2 Br 0.102 0.436 0.145 1
Br3 Br 0.134 0.065 0.061 1
Br4 Br 0.198 0.388 0.485 1
Br5 Br 0.212 0.192 0.867 1
Br6 Br 0.354 0.135 0.429 1
Br7 Br 0.362 0.131 0.712 1
Br8 Br 0.381 0.471 0.335 1
Br9 Br 0.496 0.168 0.314 1
# Formation energy (no corrections) = -0.552 eV/atom
# Size of the total moment = 0.000 μB per atom


(2)
# CsPrAg2Br6 | the Alexandria database | GGA-PBE | relaxed
data_CsPrAg2Br6
_cell_length_a 7.9641
_cell_length_b 7.9641
_cell_length_c 21.0304
_cell_angle_alpha 90.00
_cell_angle_beta 90.00
_cell_angle_gamma 120.00
_space_group_name_H-M_alt 'R 3'
_space_group_IT_number 146
_space_group_name_Hall 'R 3'
loop_
_atom_site_label
_atom_site_type_symbol
_atom_site_fract_x
_atom_site_fract_y
_atom_site_fract_z
_atom_site_occupancy
Cs1 Cs 0.0000 0.0000 0.0000 1
Pr1 Pr 0.0000 0.0000 0.4982 1
Ag1 Ag 0.0000 0.0000 0.2529 1
Ag2 Ag 0.0000 0.0000 0.7008 1
Br1 Br 0.0432 0.7036 0.4352 1
Br2 Br 0.0953 0.3672 0.2636 1
# Formation energy (no corrections) = -1.222 eV/atom
# Size of the total moment = 0.000 μB per atom


(3)
# NaCdAgF4 | the Alexandria database | GGA-PBE | relaxed
data_NaCdAgF4
_cell_length_a 6.726
_cell_length_b 7.027
_cell_length_c 9.926
_cell_angle_alpha 90.00
_cell_angle_beta 90.00
_cell_angle_gamma 90.00
_space_group_name_H-M_alt 'I m m a'
_space_group_IT_number 74
_space_group_name_Hall '-I 2b 2'
loop_
_atom_site_label
_atom_site_type_symbol
_atom_site_fract_x
_atom_site_fract_y
_atom_site_fract_z
_atom_site_occupancy
Na1 Na 0.250 0.250 0.250 1
Cd1 Cd 0.000 0.000 0.000 1
Ag1 Ag 0.000 0.250 0.645 1
F1 F 0.000 0.026 0.224 1
F2 F 0.221 0.250 0.009 1
# Formation energy (no corrections) = -1.994 eV/atom
# Size of the total moment = 0.001 μB per atom


(4)
# Tb5PmSm3 | the Alexandria database | GGA-PBE | relaxed
data_Tb5PmSm3
_cell_length_a 15.283
_cell_length_b 11.478
_cell_length_c 9.929
_cell_angle_alpha 90.00
_cell_angle_beta 130.07
_cell_angle_gamma 90.00
_space_group_name_H-M_alt 'C 1 2/m 1'
_space_group_IT_number 12
_space_group_name_Hall '-C 2y'
loop_
_atom_site_label
_atom_site_type_symbol
_atom_site_fract_x
_atom_site_fract_y
_atom_site_fract_z
_atom_site_occupancy
Tb1 Tb 0.000 0.243 0.000 1
Tb2 Tb 0.150 0.250 0.748 1
Tb3 Tb 0.222 0.000 0.226 1
Tb4 Tb 0.225 0.500 0.045 1
Pm1 Pm 0.248 0.500 0.408 1
Sm1 Sm 0.000 0.000 0.500 1
Sm2 Sm 0.000 0.500 0.000 1
Sm3 Sm 0.007 0.000 0.814 1
Sm4 Sm 0.019 0.500 0.358 1
# Energy above the lowest structure with this stoichiometry = 0.212 eV/atom
# Size of the total moment = 0.000 μB per atom


(5)
# PmHo3Rh3 | the Alexandria database | GGA-PBE | relaxed
data_PmHo3Rh3
_cell_length_a 9.218
_cell_length_b 10.282
_cell_length_c 6.898
_cell_angle_alpha 90.00
_cell_angle_beta 90.95
_cell_angle_gamma 90.00
_space_group_name_H-M_alt 'C 1 2/m 1'
_space_group_IT_number 12
_space_group_name_Hall '-C 2y'
loop_
_atom_site_label
_atom_site_type_symbol
_atom_site_fract_x
_atom_site_fract_y
_atom_site_fract_z
_atom_site_occupancy
Pm1 Pm 0.238 0.000 0.388 1
Ho1 Ho 0.000 0.259 0.500 1
Ho2 Ho 0.000 0.315 0.000 1
Ho3 Ho 0.180 0.000 0.889 1
Rh1 Rh 0.053 0.500 0.295 1
Rh2 Rh 0.249 0.253 0.232 1
# Size of the total moment = 0.000 μB per atom


(6)
# Li2ZrCo | the Alexandria database | GGA-PBE | relaxed
data_Li2ZrCo
_cell_length_a 6.092
_cell_length_b 6.092
_cell_length_c 6.092
_cell_angle_alpha 90.00
_cell_angle_beta 90.00
_cell_angle_gamma 90.00
_space_group_name_H-M_alt 'F m -3 m'
_space_group_IT_number 225
_space_group_name_Hall '-F 4 2 3'
loop_
_atom_site_label
_atom_site_type_symbol
_atom_site_fract_x
_atom_site_fract_y
_atom_site_fract_z
_atom_site_occupancy
Li1 Li 0.250 0.250 0.250 1
Zr1 Zr 0.000 0.000 0.000 1
Co1 Co 0.000 0.000 0.500 1
# Energy above the lowest structure with this stoichiometry = 0.341 eV/atom
# Size of the total moment = 0.000 μB per atom


(7)
# Sm3MgOs | the Alexandria database | GGA-PBE | relaxed
data_Sm3MgOs
_cell_length_a 5.505
_cell_length_b 5.505
_cell_length_c 5.505
_cell_angle_alpha 90.00
_cell_angle_beta 90.00
_cell_angle_gamma 90.00
_space_group_name_H-M_alt 'P m -3 m'
_space_group_IT_number 221
_space_group_name_Hall '-P 4 2 3'
loop_
_atom_site_label
_atom_site_type_symbol
_atom_site_fract_x
_atom_site_fract_y
_atom_site_fract_z
_atom_site_occupancy
Sm1 Sm 0.000 0.000 0.500 1
Mg1 Mg 0.500 0.500 0.500 1
Os1 Os 0.000 0.000 0.000 1
# Energy above the lowest structure with this stoichiometry = 0.109 eV/atom
# Size of the total moment = 0.000 μB per atom


(8)
# NaNbSe2 | the Alexandria database | GGA-PBE | relaxed
data_NaNbSe2
_cell_length_a 3.5831
_cell_length_b 3.5831
_cell_length_c 15.0333
_cell_angle_alpha 90.00
_cell_angle_beta 90.00
_cell_angle_gamma 120.00
_space_group_name_H-M_alt 'P 63/m m c'
_space_group_IT_number 194
_space_group_name_Hall '-P 6c 2c'
loop_
_atom_site_label
_atom_site_type_symbol
_atom_site_fract_x
_atom_site_fract_y
_atom_site_fract_z
_atom_site_occupancy
Na1 Na 0.0000 0.0000 0.0000 1
Nb1 Nb 0.0000 0.0000 0.2500 1
Se1 Se 0.3333 0.6667 0.1403 1
# Formation energy (no corrections) = -1.017 eV/atom
# Size of the total moment = 0.000 μB per atom


(9)
# ScTi3Sn3 | the Alexandria database | GGA-PBE | relaxed
data_ScTi3Sn3
_cell_length_a 8.0837
_cell_length_b 8.0837
_cell_length_c 5.0207
_cell_angle_alpha 90.00
_cell_angle_beta 90.00
_cell_angle_gamma 120.00
_space_group_name_H-M_alt 'P 63/m'
_space_group_IT_number 176
_space_group_name_Hall '-P 6c'
loop_
_atom_site_label
_atom_site_type_symbol
_atom_site_fract_x
_atom_site_fract_y
_atom_site_fract_z
_atom_site_occupancy
Sc1 Sc 0.3333 0.6667 0.2500 1
Ti1 Ti 0.0210 0.7987 0.2500 1
Sn1 Sn 0.0735 0.6326 0.7500 1
# Size of the total moment = 0.001 μB per atom


(10)
# BaHgPb2 | the Alexandria database | GGA-PBE | relaxed
data_BaHgPb2
_cell_length_a 6.818
_cell_length_b 12.042
_cell_length_c 3.853
_cell_angle_alpha 90.00
_cell_angle_beta 119.25
_cell_angle_gamma 90.00
_space_group_name_H-M_alt 'C 1 2/m 1'
_space_group_IT_number 12
_space_group_name_Hall '-C 2y'
loop_
_atom_site_label
_atom_site_type_symbol
_atom_site_fract_x
_atom_site_fract_y
_atom_site_fract_z
_atom_site_occupancy
Ba1 Ba 0.000 0.000 0.000 1
Hg1 Hg 0.000 0.500 0.000 1
Pb1 Pb 0.250 0.250 0.500 1
# Energy above the lowest structure with this stoichiometry = 0.174 eV/atom
# Size of the total moment = 0.000 μB per atom


| no. | uncorrected energy (eV per atom) |
| --- | --- |
| 1 | -3.263 |
| 2 | -3.359 |
| 3 | -3.790 |
| 4 | -4.173 |
| 5 | -6.470 |
| 6 | -4.470 |
| 7 | -5.347 |
| 8 | -5.606 |
| 9 | -6.276 |
| 10 | -2.616 |